Record 1
MgHPdPt2 | GGA-PBE | optimized geometry

```
MgHPdPt2
1.0
3.929 0.000 0.000
0.000 3.929 0.000
0.000 0.000 4.224
Mg H Pd Pt
1 1 1 2
Direct
0.000 0.000 0.000
0.000 0.000 0.500
0.500 0.500 0.000
0.000 0.500 0.500
0.500 0.000 0.500
```

Results
- Energy relative to the lowest polymorph listed for this composition: 45 meV per atom
- Raw total energy: -24.2 eV per formula unit


Record 2
MgScAg3 | GGA-PBE | optimized geometry

```
MgScAg3
1.0
5.152 0.000 0.000
0.000 5.152 0.000
0.000 0.000 5.152
Mg Sc Ag
1 1 3
Direct
0.000 0.000 0.000
0.500 0.500 0.500
0.000 0.500 0.500
0.500 0.000 0.500
0.500 0.500 0.000
```

Results
- Energy relative to the lowest polymorph listed for this composition: 952 meV per atom
- ΔE_f: 716.2 meV per atom
- Raw total energy: -12.9 eV per formula unit


Record 3
Ba2NaBCl | GGA-PBE | optimized geometry

```
Ba2NaBCl
1.0
5.880 0.000 0.000
0.000 5.880 0.000
0.000 0.000 5.127
Ba Na B Cl
2 1 1 1
Direct
0.000 0.500 0.000
0.500 0.000 0.000
0.000 0.000 0.500
0.000 0.000 0.000
0.500 0.500 0.500
```

Results
- Formation energy without anion corrections: -0.182 eV/atom
- Raw total energy: -14.6 eV per formula unit


Record 4
Mn3SiH | GGA-PBE | optimized geometry

```
Mn3SiH
1.0
-2.231 2.231 5.173
2.231 -2.231 5.173
2.231 2.231 -5.173
Mn Si H
6 2 2
Direct
0.190 0.190 0.000
0.345 0.609 0.736
0.391 0.128 0.736
0.391 0.655 0.264
0.810 0.810 0.000
0.872 0.609 0.264
0.607 0.107 0.500
0.893 0.393 0.500
0.250 0.750 0.500
0.500 0.500 0.000
```

Results
- Energy relative to the lowest polymorph listed for this composition: 473 meV per atom
- Raw total energy: -35.1 eV per formula unit


Record 5
Lu2TcBr | GGA-PBE | optimized geometry

```
Lu2TcBr
1.0
3.407 0.000 0.000
0.000 3.407 0.000
0.000 0.000 7.883
Lu Tc Br
2 1 1
Direct
0.000 0.000 0.201
0.000 0.000 0.799
0.500 0.500 0.000
0.500 0.500 0.500
```

Results
- Energy relative to the lowest polymorph listed for this composition: 0 meV per atom
- Formation energy without anion corrections: -0.603 eV/atom
- Raw total energy: -23.5 eV per formula unit


Record 6
ReNiSe | GGA-PBE | optimized geometry

```
ReNiSe
1.0
4.431 0.000 0.000
-1.280 4.357 0.000
-0.309 -0.663 4.654
Re Ni Se
2 2 2
Direct
0.000 0.000 0.000
0.378 0.655 0.956
0.566 0.209 0.267
0.747 0.787 0.453
0.110 0.503 0.387
0.556 0.171 0.755
```

Results
- Energy relative to the lowest polymorph listed for this composition: 371 meV per atom
- Formation energy without anion corrections: 0.281 eV/atom
- Raw total energy: -20.9 eV per formula unit


Record 7
Ba2ReO2 | GGA-PBE | optimized geometry

```
Ba2ReO2
1.0
-2.359 2.359 6.258
2.359 -2.359 6.258
2.359 2.359 -6.258
Ba Re O
2 1 2
Direct
0.166 0.166 0.000
0.834 0.834 0.000
0.500 0.500 0.000
0.250 0.750 0.500
0.750 0.250 0.500
```

Results
- Energy relative to the lowest polymorph listed for this composition: 0 meV per atom
- Formation energy without anion corrections: -0.422 eV/atom
- Raw total energy: -28.3 eV per formula unit


Record 8
Dy2Tm7Zr2 | GGA-PBE | optimized geometry

```
Dy2Tm7Zr2
1.0
4.351 -4.650 0.000
4.351 4.650 0.000
-2.059 0.000 8.021
Dy Tm Zr
2 7 2
Direct
0.180 0.820 0.000
0.820 0.180 0.000
0.023 0.387 0.681
0.340 0.340 0.080
0.387 0.023 0.681
0.500 0.500 0.500
0.613 0.977 0.319
0.660 0.660 0.920
0.977 0.613 0.319
0.133 0.133 0.336
0.867 0.867 0.664
```

Results
- ΔE_f: 101.4 meV per atom
- Raw total energy: -56.5 eV per formula unit